w.
A relaxed Zr3TiBr crystal. Source: Alexandria, functional PBE-GGA.

abc: 5.0560 5.0560 5.0560
angles: 90.00 90.00 90.00
Element x y z (fractional)
Zr1 0.5000 0.0000 0.0000
Br1 0.5000 0.5000 0.5000
Zr2 0.0000 0.5000 0.0000
Ti1 0.0000 0.0000 0.0000
Zr3 0.0000 0.0000 0.5000

=====

x.
A relaxed Zr3TiBr crystal. Source: Alexandria, functional PBE-GGA.

abc: 4.9534 4.9534 4.9534
angles: 90.00 90.00 90.00
Element x y z (fractional)
Zr1 0.5000 0.0000 0.0000
Br1 0.0000 0.0000 0.0000
Zr2 0.0000 0.0000 0.5000
Zr3 0.0000 0.5000 0.0000
Ti1 0.5000 0.5000 0.5000

=====

Least stable of them? w.

=====

w.
A relaxed Tl2Br crystal. Source: Alexandria, functional PBE-GGA.

abc: 4.5854 7.2075 12.0889
angles: 90.00 90.00 90.00
Element x y z (fractional)
Tl1 0.2500 0.6172 0.7441
Tl2 0.2500 0.1545 0.4409
Tl3 0.7500 0.3828 0.2559
Tl4 0.7500 0.3455 0.9409
Tl5 0.7500 0.8828 0.2441
Tl6 0.2500 0.1172 0.7559
Tl7 0.2500 0.6545 0.0591
Br1 0.2500 0.6423 0.3877
Br2 0.7500 0.8577 0.8877
Br3 0.7500 0.3577 0.6123
Tl8 0.7500 0.8455 0.5591
Br4 0.2500 0.1423 0.1123

=====

x.
A relaxed Tl2Br crystal. Source: Alexandria, functional PBE-GGA.

abc: 6.5228 6.5228 11.0880
angles: 90.00 90.00 120.00
Element x y z (fractional)
Tl1 0.0000 0.0000 0.5000
Br1 0.6667 0.3333 0.5681
Tl2 0.8298 0.1702 0.2500
Br2 0.3333 0.6667 0.4319
Tl3 0.3405 0.1702 0.2500
Tl4 0.0000 0.0000 0.0000
Tl5 0.8298 0.6595 0.2500
Tl6 0.1702 0.8298 0.7500
Br3 0.6667 0.3333 0.9319
Tl7 0.6595 0.8298 0.7500
Br4 0.3333 0.6667 0.0681
Tl8 0.1702 0.3405 0.7500

=====

Least stable of them? x.

=====

w.
A relaxed TlBr crystal. Source: Alexandria, functional PBE-GGA.

abc: 7.8287 7.8287 7.8287
angles: 42.04 42.04 42.04
Element x y z (fractional)
Br1 0.7650 0.7650 0.7650
Tl1 0.9105 0.9105 0.9105
Br2 0.2350 0.2350 0.2350
Tl2 0.0895 0.0895 0.0895

=====

x.
A relaxed TlBr crystal. Source: Alexandria, functional PBE-GGA.

abc: 5.6715 5.6715 5.6715
angles: 60.00 60.00 60.00
Element x y z (fractional)
Tl1 0.5000 0.5000 0.5000
Br1 0.2500 0.2500 0.2500
Br2 0.0000 0.0000 0.0000
Tl2 0.7500 0.7500 0.7500

=====

y.
A relaxed TlBr crystal. Source: Alexandria, functional PBE-GGA.

abc: 4.0367 4.0380 4.0381
angles: 90.00 90.03 90.00
Element x y z (fractional)
Tl1 0.6595 0.5000 0.8647
Br1 0.1556 0.0000 0.3671

=====

z.
A relaxed TlBr crystal. Source: Alexandria, functional PBE-GGA.

abc: 10.2842 10.2842 10.2842
angles: 90.00 90.00 90.00
Element x y z (fractional)
Tl1 0.3461 0.3461 0.3461
Tl2 0.3461 0.6539 0.6539
Br1 0.1564 0.1564 0.1564
Tl3 0.1539 0.1539 0.8461
Br2 0.1564 0.8436 0.8436
Br3 0.3436 0.3436 0.6564
Br4 0.3436 0.6564 0.3436
Br5 0.6564 0.3436 0.3436
Tl4 0.6539 0.3461 0.6539
Br6 0.8436 0.8436 0.1564
Tl5 0.8461 0.8461 0.8461
Br7 0.6564 0.6564 0.6564
Br8 0.8436 0.1564 0.8436
Tl6 0.6539 0.6539 0.3461
Tl7 0.1539 0.8461 0.1539
Tl8 0.8461 0.1539 0.1539

=====

Least stable of them? x.

=====

w.
A relaxed TlBr crystal. Source: Alexandria, functional PBE-GGA.

abc: 13.2986 13.2986 4.3580
angles: 90.00 90.00 120.00
Element x y z (fractional)
Tl1 0.4765 0.3368 0.7500
Br1 0.4848 0.1450 0.2500
Tl2 0.6632 0.1397 0.7500
Br2 0.3398 0.4848 0.7500
Tl3 0.8603 0.5235 0.7500
Tl4 0.5235 0.6632 0.2500
Br3 0.1450 0.6602 0.7500
Tl5 0.1397 0.4765 0.2500
Br4 0.5152 0.8550 0.7500
Tl6 0.3368 0.8603 0.2500
Br5 0.6602 0.5152 0.2500
Br6 0.8550 0.3398 0.2500

=====

x.
A relaxed TlBr crystal. Source: Alexandria, functional PBE-GGA.

abc: 4.5682 4.5682 4.2228
angles: 90.00 90.00 120.00
Element x y z (fractional)
Br1 0.3333 0.6667 0.0000
Tl1 0.0000 0.0000 0.5000

=====

Least stable of them? w.